Density functional theory data (GGA-PBE) for an optimized crystal structure of LiSnAu3.

Properties
Calculated density, g/cm3: 13.0
Distance to the lowest polymorph of the same formula, meV/atom: 0.0
Electronic total energy, eV/atom: -3.47
Formation energy from the elements, eV per atom: -0.32

Geometry as CIF:
```
data_LiSnAu3
_chemical_formula_sum 'Li2 Sn2 Au6'
_space_group_name_H-M_alt 'P 1 21/m 1'
_space_group_IT_number 11
_space_group_name_Hall '-P 2yb'
_cell_length_a 5.027
_cell_length_b 4.743
_cell_length_c 8.068
_cell_angle_alpha 90.00
_cell_angle_beta 107.46
_cell_angle_gamma 90.00
loop_
_atom_site_label
_atom_site_fract_x
_atom_site_fract_y
_atom_site_fract_z
Li1 0.184 0.250 0.283
Sn1 0.428 0.250 0.701
Au1 0.023 0.250 0.903
Au2 0.181 0.750 0.501
Au3 0.379 0.750 0.890
```